# 1
GGA-PBEsol Nb2Si2Rh, relaxed; total DFT energy (no corrections) = -0.33059 hartree per atom; DOS at the Fermi energy = 3.4 states/eV/f.u.; raw formation energy = -0.741 eV/atom
1.0
-3.486 -1.367 0.557
1.785 -5.507 -2.344
1.657 -1.896 5.716
Nb Rh Si
4 2 4
Direct
0.500 0.170 0.670 Nb
0.500 0.670 0.830 Nb
0.500 0.830 0.330 Nb
0.500 0.330 0.170 Nb
0.000 0.000 0.000 Rh
0.000 0.500 0.500 Rh
0.000 0.366 0.866 Si
0.000 0.866 0.634 Si
0.000 0.634 0.134 Si
0.000 0.134 0.366 Si



# 2
GGA-PBEsol NbSiRh3, relaxed; total DFT energy (no corrections) = -0.25374 hartree per atom; DOS at the Fermi energy = 4.7 states/eV/f.u.; raw formation energy = 1.292 eV/atom
1.0
-3.134 -3.362 0.657
3.399 -2.941 1.162
-0.425 1.265 4.447
Nb Rh Si
1 3 1
Direct
0.000 0.000 0.000 Nb
0.000 0.500 0.000 Rh
0.000 0.000 0.500 Rh
0.500 0.000 0.000 Rh
0.500 0.500 0.500 Si



# 3
GGA-PBEsol NbSiRh, relaxed; total DFT energy (no corrections) = -0.33669 hartree per atom; DOS at the Fermi energy = 0.7 states/eV/f.u.; raw formation energy = -0.926 eV/atom
1.0
3.738 0.000 0.000
0.000 6.377 0.000
0.000 0.000 7.281
Nb Si Rh
4 4 4
Direct
0.250 0.525 0.326 Nb
0.750 0.975 0.826 Nb
0.250 0.025 0.174 Nb
0.750 0.475 0.674 Nb
0.750 0.731 0.125 Si
0.750 0.231 0.375 Si
0.250 0.269 0.875 Si
0.250 0.769 0.625 Si
0.750 0.355 0.062 Rh
0.750 0.855 0.438 Rh
0.250 0.145 0.562 Rh
0.250 0.645 0.938 Rh



# 4
GGA-PBEsol SrNb3Rh, relaxed; total DFT energy (no corrections) = -0.21356 hartree per atom; DOS at the Fermi energy = 7.7 states/eV/f.u.; calculated formation energy = 13.39 eV/f.u.
1.0
4.693 0.000 0.000
0.000 4.693 0.000
0.000 0.000 4.693
Sr Nb Rh
1 3 1
Direct
0.000 0.000 0.000 Sr
0.000 0.500 0.000 Nb
0.000 0.000 0.500 Nb
0.500 0.000 0.000 Nb
0.500 0.500 0.500 Rh



# 5
GGA-PBEsol SrNbRh2, relaxed; total DFT energy (no corrections) = -0.26042 hartree per atom; DOS at the Fermi energy = 3.6 states/eV/f.u.; calculated formation energy = 0.59 eV/f.u.
1.0
-2.123 -1.272 3.966
-2.467 -3.968 0.162
1.602 -3.650 2.442
Sr Nb Rh
1 1 2
Direct
0.000 0.000 0.000 Sr
0.500 0.500 0.500 Nb
0.250 0.250 0.250 Rh
0.750 0.750 0.750 Rh



# 6
GGA-PBEsol TaNbTe2Rh, relaxed; total DFT energy (no corrections) = -0.24289 hartree per atom; DOS at the Fermi energy = 6.4 states/eV/f.u.; raw formation energy = 1.103 eV/atom
1.0
4.693 0.000 0.000
0.000 5.051 0.000
0.000 0.000 5.051
Nb Te Rh Ta
1 2 1 1
Direct
0.500 0.500 0.500 Nb
0.000 0.000 0.500 Te
0.000 0.500 0.000 Te
0.000 0.000 0.000 Rh
0.500 0.000 0.000 Ta



# 7
GGA-PBEsol TiNb2TeRh, relaxed; total DFT energy (no corrections) = -0.28294 hartree per atom; DOS at the Fermi energy = 7.7 states/eV/f.u.; raw formation energy = 0.627 eV/atom
1.0
-2.571 -3.468 -1.616
3.055 -3.186 1.978
-2.605 0.033 4.075
Nb Te Rh Ti
2 1 1 1
Direct
0.000 0.000 0.500 Nb
0.000 0.500 0.000 Nb
0.500 0.500 0.500 Te
0.000 0.000 0.000 Rh
0.500 0.000 0.000 Ti



# 8
GGA-PBEsol Nb3RhW, relaxed; total DFT energy (no corrections) = -0.33955 hartree per atom; DOS at the Fermi energy = 8.8 states/eV/f.u.; calculated formation energy = 8.21 eV/f.u.
1.0
-0.890 -0.054 -4.675
-2.633 -3.927 0.547
-3.863 2.689 0.705
Nb Rh W
3 1 1
Direct
0.000 0.500 0.000 Nb
0.000 0.000 0.500 Nb
0.500 0.000 0.000 Nb
0.500 0.500 0.500 Rh
0.000 0.000 0.000 W



# 9
GGA-PBEsol Zr2Nb2Rh, relaxed; total DFT energy (no corrections) = -0.33903 hartree per atom; DOS at the Fermi energy = 4.3 states/eV/f.u.; calculated formation energy = 1.83 eV/f.u.
1.0
3.557 0.000 0.000
0.000 3.557 0.000
-1.779 -1.779 7.937
Nb Rh Zr
2 1 2
Direct
0.250 0.750 0.500 Nb
0.750 0.250 0.500 Nb
0.000 0.000 0.000 Rh
0.409 0.409 0.818 Zr
0.591 0.591 0.182 Zr



# 10
GGA-PBEsol Nb3SbRu, relaxed; total DFT energy (no corrections) = -0.27301 hartree per atom; DOS at the Fermi energy = 6.0 states/eV/f.u.; raw formation energy = 2.010 eV/atom
1.0
-0.391 -4.129 -2.580
2.299 -2.438 3.554
-4.292 -0.930 2.139
Sb Nb Ru
1 3 1
Direct
0.000 0.000 0.000 Sb
0.000 0.500 0.000 Nb
0.000 0.000 0.500 Nb
0.500 0.000 0.000 Nb
0.500 0.500 0.500 Ru



# 11
GGA-PBEsol Nb3SbRu, relaxed; total DFT energy (no corrections) = -0.31593 hartree per atom; DOS at the Fermi energy = 6.3 states/eV/f.u.; raw formation energy = 0.842 eV/atom
1.0
-1.717 4.299 -1.135
-3.827 -2.049 -1.967
-2.262 0.203 4.190
Sb Nb Ru
1 3 1
Direct
0.500 0.500 0.500 Sb
0.000 0.500 0.000 Nb
0.000 0.000 0.500 Nb
0.500 0.000 0.000 Nb
0.000 0.000 0.000 Ru



# 12
GGA-PBEsol NbTc2SbRu, relaxed; total DFT energy (no corrections) = -0.29790 hartree per atom; DOS at the Fermi energy = 5.5 states/eV/f.u.; raw formation energy = 1.510 eV/atom
1.0
-1.330 1.687 3.999
-4.286 -1.167 -0.933
0.724 -4.303 2.056
Sb Nb Tc Ru
1 1 2 1
Direct
0.000 0.000 0.500 Sb
0.500 0.500 0.500 Nb
0.000 0.500 0.000 Tc
0.500 0.000 0.000 Tc
0.000 0.000 0.000 Ru